Entry from Alexandria: an optimized crystal structure of Sr3Tm3CuTe8 (PBE-GGA).

Cell lengths 15.3064, 8.8417, 9.1139 Å; angles 90.00, 124.03, 90.00 degrees
Space group C2/m (No. 12)
One atom of each set of equivalent atoms:
Sr (0.0000, 0.0000, 0.0000) (multiplicity 2)
Sr (0.2500, 0.2500, 0.0000) (multiplicity 4)
Tm (0.0000, 0.5000, 0.5000) (multiplicity 2)
Tm (0.2500, 0.2500, 0.5000) (multiplicity 4)
Cu (0.0000, 0.0000, 0.5000) (multiplicity 2)
Te (0.0099, 0.2463, 0.2833) (multiplicity 8)
Te (0.2354, 0.0000, 0.7157) (multiplicity 4)
Te (0.2424, 0.5000, 0.7273) (multiplicity 4)

## Properties
formation energy (no corrections)	-1.25	eV/atom

Entry from Alexandria: an optimized crystal structure of SbOsPb (PBE-GGA).

Cell lengths 6.5483, 6.5483, 6.5483 Å; angles 90.00, 90.00, 90.00 degrees
Space group F-43m (No. 216)
One atom of each set of equivalent atoms:
Sb (0.0000, 0.0000, 0.0000) (multiplicity 4)
Os (0.2500, 0.2500, 0.7500) (multiplicity 4)
Pb (0.0000, 0.0000, 0.5000) (multiplicity 4)

## Properties
formation energy (no corrections)	0.46	eV/atom

Entry from Alexandria: an optimized crystal structure of CsZnMoRh2 (PBE-GGA).

Cell lengths 4.7747, 4.7747, 5.5185 Å; angles 90.00, 90.00, 90.00 degrees
Space group P4/mmm (No. 123)
One atom of each set of equivalent atoms:
Cs (0.0000, 0.0000, 0.0000) (multiplicity 1)
Zn (0.0000, 0.0000, 0.5000) (multiplicity 1)
Mo (0.5000, 0.5000, 0.0000) (multiplicity 1)
Rh (0.0000, 0.5000, 0.5000) (multiplicity 2)

## Properties
DFT formation energy	1684.5	meV/atom

Entry from Alexandria: an optimized crystal structure of Pr4Y11Ho9 (PBE-GGA).

Cell lengths 16.7599, 25.1754, 3.7193 Å; angles 90.00, 90.00, 90.00 degrees
Space group Cmmm (No. 65)
One atom of each set of equivalent atoms:
Pr (0.1541, 0.1003, 0.0000) (multiplicity 8)
Y (0.0000, 0.1362, 0.5000) (multiplicity 4)
Y (0.0000, 0.3410, 0.5000) (multiplicity 4)
Y (0.0000, 0.5000, 0.5000) (multiplicity 2)
Y (0.2136, 0.0000, 0.5000) (multiplicity 4)
Y (0.2256, 0.3188, 0.5000) (multiplicity 8)
Ho (0.0000, 0.0000, 0.0000) (multiplicity 2)
Ho (0.1014, 0.2361, 0.0000) (multiplicity 8)
Ho (0.1388, 0.4273, 0.0000) (multiplicity 8)

## Properties
DFT formation energy	62.1	meV/atom

no.,energy (eV/atom),spin magnetization (μB/f.u.)
1,-4.429,0.00
2,-5.890,0.00
3,-3.848,3.93
4,-5.414,0.37